(1)
Below is a relaxed structure of La2Pm2SiIr4, with properties calculated at the GGA-PBE level.

Computed properties:
Uncorrected formation energy   -0.426 eV/atom
Spin magnetization   0.000 μB/atom
SG   I4/mmm (139)

Structure (extended XYZ):
```
9
Lattice="-3.278 3.278 4.632 3.278 -3.278 4.632 3.278 3.278 -4.632" Properties=species:S:1:pos:R:3 pbc="T T T"
La 3.278 0.000 2.316
La 0.000 3.278 2.316
Pm 0.000 0.000 1.744
Pm 0.000 0.000 7.520
Si 0.000 0.000 4.632
Ir 1.623 1.623 0.000
Ir 1.655 -1.655 4.632
Ir -1.655 1.655 4.632
Ir 1.655 1.655 4.632
```

(2)
Below is a relaxed structure of YCdCl2, with properties calculated at the GGA-PBE level.

Computed properties:
Uncorrected formation energy   -0.967 eV/atom
Spin magnetization   0.000 μB/atom
SG   C2/m (12)
Distance to the lowest polymorph of the same formula   340 meV/atom

Structure (extended XYZ):
```
4
Lattice="3.397 -4.666 0.000 3.397 4.666 0.000 -1.806 0.000 3.134" Properties=species:S:1:pos:R:3 pbc="T T T"
Y 0.000 0.000 0.000
Cd 3.397 0.000 0.000
Cl 1.698 2.333 0.000
Cl 1.698 -2.333 0.000
```

(3)
Below is a relaxed structure of TlSbSe2, with properties calculated at the GGA-PBE level.

Computed properties:
Uncorrected formation energy   -0.283 eV/atom
Spin magnetization   0.000 μB/atom
SG   Pnma (62)

Structure (extended XYZ):
```
16
Lattice="7.785 0.000 0.000 0.000 3.972 0.000 0.000 0.000 16.911" Properties=species:S:1:pos:R:3 pbc="T T T"
Tl 0.982 0.993 2.598
Tl 2.910 2.979 11.053
Tl 4.875 0.993 5.858
Tl 6.802 2.979 14.314
Sb 0.983 2.979 6.545
Sb 2.910 0.993 15.001
Sb 4.875 2.979 1.911
Sb 6.802 0.993 10.366
Se 1.198 0.993 13.071
Se 1.934 2.979 16.523
Se 1.958 0.993 8.068
Se 2.694 2.979 4.616
Se 5.090 0.993 12.296
Se 5.826 2.979 8.844
Se 5.851 0.993 0.388
Se 6.587 2.979 3.840
```